Entry 1:
Here is a relaxed structure of Ho2URu3 from Alexandria via LeMat-Bulk. Energies are from PBE.

```
data_Ho2URu3
_chemical_formula_sum 'Ho8 U4 Ru12'
_cell_length_a 4.894
_cell_length_b 14.179
_cell_length_c 6.839
_cell_angle_alpha 90.00
_cell_angle_beta 95.02
_cell_angle_gamma 90.00
_space_group_name_H-M_alt 'C 1 2/m 1'
_space_group_IT_number 12
_space_group_name_Hall '-C 2y'
loop_
_atom_site_label
_atom_site_type_symbol
_atom_site_fract_x
_atom_site_fract_y
_atom_site_fract_z
Ho1 Ho 0.000 0.000 0.000
Ho2 Ho 0.000 0.000 0.500
Ho3 Ho 0.000 0.336 0.000
U1 U 0.000 0.335 0.500
Ru1 Ru 0.010 0.500 0.728
Ru2 Ru 0.046 0.175 0.279
```

## Properties
ΔH_f (0 K) ... -2.412 eV/f.u.
Relative energy among the computed polymorphs ... 0.000 eV per atom
Spin magnetization ... 0.6 μB/f.u.
Crystal system ... monoclinic

***

Entry 2:
Here is a relaxed structure of Ho2URu4 from Alexandria via LeMat-Bulk. Energies are from PBE.

```
data_Ho2URu4
_chemical_formula_sum 'Ho4 U2 Ru8'
_cell_length_a 4.480
_cell_length_b 4.480
_cell_length_c 13.562
_cell_angle_alpha 90.00
_cell_angle_beta 90.00
_cell_angle_gamma 90.00
_space_group_name_H-M_alt 'I 4/m m m'
_space_group_IT_number 139
_space_group_name_Hall '-I 4 2'
loop_
_atom_site_label
_atom_site_type_symbol
_atom_site_fract_x
_atom_site_fract_y
_atom_site_fract_z
Ho1 Ho 0.000 0.000 0.239
U1 U 0.000 0.000 0.500
Ru1 Ru 0.000 0.500 0.105
```

## Properties
ΔH_f (0 K) ... -0.682 eV/f.u.
Spin magnetization ... 0.0 μB/f.u.
Crystal system ... tetragonal